A plane-wave DFT calculation with PBE was carried out for a relaxed structure of Pr3Dy4Al4.

Symmetry: No. 71
E_tot: -4.53 eV per atom

Unit cell a=5.1657 b=7.1064 c=9.5611 alpha=111.82 beta=105.67 gamma=90.00
Fractional coordinates of all 11 atoms:
Dy 0.3218 0.0939 0.6437
Dy 0.6782 0.4502 0.3563
Dy 0.6782 0.9061 0.3563
Dy 0.3218 0.5498 0.6437
Al 0.1829 0.6829 0.3658
Al 0.8171 0.3171 0.6342
Al 0.5000 0.8090 0.0000
Al 0.5000 0.1910 0.0000
Pr 0.8938 0.8938 0.7875
Pr 0.0000 0.5000 0.0000
Pr 0.1062 0.1062 0.2125